Entry 1:
The following is a PBE-GGA calculation of an optimized crystal structure of ScTlTe, from the Alexandria database.

The structure belongs to space group P4/nmm (No. 129, origin choice 2); the cell edges are 4.6730, 4.6730 and 8.6777 Å and the angles 90.00°, 90.00° and 90.00°. The inequivalent atoms are Sc at (0.2500, 0.7500, 0.0000), Tl at (0.2500, 0.2500, 0.3445) and Te at (0.2500, 0.2500, 0.8002).

The value obtained for the polymorph energy (0 for the lowest one) is 4 meV per atom. The formation energy (no corrections) is -0.544 eV per atom. For the total energy, the calculation gives -4.491 eV/atom. Its size of the total moment is 0.000 Bohr magnetons per cell.



Entry 2:
The following is a PBE-GGA calculation of an optimized crystal structure of YTl2Sb2O6, from the Alexandria database.

The structure belongs to space group C2/m (No. 12); the cell edges are 10.0575, 6.2192 and 7.9047 Å and the angles 90.00°, 116.67° and 90.00°. The inequivalent atoms are Y at (0.0000, 0.0000, 0.0000), Tl at (0.2149, 0.0000, 0.7039), Sb at (0.0634, 0.5000, 0.7404), O at (0.0505, 0.2679, 0.2199) and O at (0.2413, 0.0000, 0.0408).

The formation energy (no corrections) is -1.560 eV per atom. For the total energy, the calculation gives -6.032 eV/atom. Its size of the total moment is 0.000 Bohr magnetons per cell.